1.
A plane-wave DFT calculation with PBE was carried out for crystalline Nd2Cu15Ir2 at its relaxed geometry.

## Properties
Final energy   -4.78 eV/atom

Unit cell a=8.6634 b=8.6634 c=12.6213 alpha=90.00 beta=90.00 gamma=120.00
Space group R-3m (No. 166, hexagonal axes)
Unique sites:
Nd (0.0000, 0.0000, 0.1629)
Cu (0.0000, 0.2898, 0.5000)
Cu (0.0000, 0.5000, 0.0000)
Cu (0.0000, 0.5000, 0.3488)
Ir (0.0000, 0.0000, 0.3967)

---

2.
A plane-wave DFT calculation with PBE was carried out for crystalline Nd2CuIr2 at its relaxed geometry.

## Properties
ΔE to the lowest computed polymorph   0.0196 eV per atom

Unit cell a=9.8981 b=5.5529 c=8.0426 alpha=90.00 beta=105.84 gamma=90.00
Space group C2/c (No. 15)
Unique sites:
Nd (0.1472, 0.1462, 0.1498)
Cu (0.0000, 0.3597, 0.7500)
Ir (0.1333, 0.3577, 0.5126)

---

3.
A plane-wave DFT calculation with PBE was carried out for crystalline Nd7Cu2Ir2 at its relaxed geometry.

## Properties
Final energy   -5.59 eV/atom

Unit cell a=7.9249 b=11.1630 c=7.2166 alpha=90.00 beta=90.00 gamma=90.00
Space group Cmmm (No. 65)
Unique sites:
Nd (0.0000, 0.0000, 0.0000)
Nd (0.0000, 0.5000, 0.2565)
Nd (0.2500, 0.2500, 0.2652)
Cu (0.1644, 0.0000, 0.5000)
Ir (0.0000, 0.2943, 0.0000)

---

4.
A plane-wave DFT calculation with PBE was carried out for crystalline Nd4CuIr at its relaxed geometry.

## Properties
Final energy   -5.52 eV/atom

Unit cell a=9.6338 b=9.6338 c=8.5211 alpha=90.00 beta=90.00 gamma=90.00
Space group I4_1md (No. 109)
Unique sites:
Nd (0.0000, 0.3000, 0.0000)
Nd (0.0000, 0.3017, 0.4855)
Cu (0.0000, 0.0000, 0.4896)
Ir (0.0000, 0.0000, 0.9933)

---

5.
A plane-wave DFT calculation with PBE was carried out for crystalline Nd2CuIr2 at its relaxed geometry.

## Properties
ΔE to the lowest computed polymorph   0.0000 eV per atom

Unit cell a=4.2765 b=5.7977 c=8.5368 alpha=90.00 beta=90.00 gamma=90.00
Space group Immm (No. 71)
Unique sites:
Nd (0.0000, 0.0000, 0.2006)
Cu (0.0000, 0.5000, 0.0000)
Ir (0.0000, 0.2613, 0.5000)

---

6.
A plane-wave DFT calculation with PBE was carried out for crystalline Nd12Cu6Ir at its relaxed geometry.

## Properties
Final energy   -4.78 eV/atom

Unit cell a=12.6658 b=12.6658 c=12.3653 alpha=90.00 beta=90.00 gamma=120.00
Space group R-3 (No. 148, hexagonal axes)
Unique sites:
Nd (0.0245, 0.8238, 0.3906)
Nd (0.0352, 0.8364, 0.8766)
Cu (0.0434, 0.7736, 0.6454)
Ir (0.0000, 0.0000, 0.0000)

---

7.
A plane-wave DFT calculation with PBE was carried out for crystalline Nd3Cu3Ir at its relaxed geometry.

## Properties
Final energy   -5.35 eV/atom

Unit cell a=4.6261 b=10.2387 c=12.5819 alpha=90.00 beta=90.00 gamma=90.00
Space group Cmcm (No. 63)
Unique sites:
Nd (0.0000, 0.0233, 0.2500)
Nd (0.0000, 0.2646, 0.5990)
Cu (0.0000, 0.3132, 0.2500)
Cu (0.0000, 0.4437, 0.0879)
Ir (0.0000, 0.0000, 0.0000)

---

8.
A plane-wave DFT calculation with PBE was carried out for crystalline Nd4CuIr3 at its relaxed geometry.

## Properties
Final energy   -6.77 eV/atom

Unit cell a=4.0103 b=4.3536 c=10.8267 alpha=90.00 beta=90.00 gamma=90.00
Space group Pmm2 (No. 25)
Unique sites:
Nd (0.0000, 0.0000, 0.0000)
Nd (0.0000, 0.5000, 0.2778)
Nd (0.5000, 0.0000, 0.4889)
Nd (0.5000, 0.5000, 0.7755)
Cu (0.0000, 0.0000, 0.7036)
Ir (0.0000, 0.5000, 0.5662)
Ir (0.5000, 0.0000, 0.2175)
Ir (0.5000, 0.5000, 0.0478)

---

9.
A plane-wave DFT calculation with PBE was carried out for crystalline Nd8CuIr2 at its relaxed geometry.

## Properties
Final energy   -5.68 eV/atom

Unit cell a=8.6608 b=12.5317 c=6.3946 alpha=90.00 beta=107.65 gamma=90.00
Space group Cm (No. 8)
Unique sites:
Nd (0.0000, 0.0000, 0.0000)
Nd (0.0769, 0.3629, 0.8332)
Nd (0.1560, 0.1339, 0.5869)
Nd (0.2198, 0.5000, 0.4021)
Nd (0.3712, 0.2133, 0.2099)
Cu (0.3575, 0.0000, 0.0050)
Ir (0.3632, 0.3159, 0.6974)

---

10.
A plane-wave DFT calculation with PBE was carried out for crystalline Nd2Cu5Ir5 at its relaxed geometry.

## Properties
Final energy   -6.49 eV/atom

Unit cell a=4.1116 b=5.3529 c=9.0404 alpha=90.00 beta=90.00 gamma=90.00
Space group Pmmm (No. 47)
Unique sites:
Nd (0.0000, 0.0000, 0.0000)
Nd (0.0000, 0.5000, 0.5000)
Cu (0.0000, 0.0000, 0.3324)
Cu (0.0000, 0.5000, 0.1654)
Cu (0.5000, 0.5000, 0.0000)
Ir (0.5000, 0.0000, 0.5000)
Ir (0.5000, 0.2540, 0.2482)

---

11.
A plane-wave DFT calculation with PBE was carried out for crystalline Nd2CuP4Ir3 at its relaxed geometry.

## Properties
Final energy   -7.10 eV/atom

Unit cell a=4.2195 b=4.2195 c=9.4953 alpha=90.00 beta=90.00 gamma=90.00
Space group P-4m2 (No. 115)
Unique sites:
Nd (0.0000, 0.5000, 0.2448)
Cu (0.0000, 0.0000, 0.5000)
P (0.0000, 0.0000, 0.0000)
P (0.0000, 0.5000, 0.6353)
P (0.5000, 0.5000, 0.0000)
Ir (0.0000, 0.5000, 0.8884)
Ir (0.5000, 0.5000, 0.5000)

---

12.
A plane-wave DFT calculation with PBE was carried out for crystalline Nd2CuP3Ir4 at its relaxed geometry.

## Properties
Final energy   -7.39 eV/atom

Unit cell a=4.1320 b=4.1320 c=9.8852 alpha=90.00 beta=90.00 gamma=90.00
Space group P-4m2 (No. 115)
Unique sites:
Nd (0.0000, 0.5000, 0.2429)
Cu (0.5000, 0.5000, 0.0000)
P (0.0000, 0.0000, 0.0000)
P (0.0000, 0.5000, 0.6373)
Ir (0.0000, 0.0000, 0.5000)
Ir (0.0000, 0.5000, 0.8693)
Ir (0.5000, 0.5000, 0.5000)

---

13.
A plane-wave DFT calculation with PBE was carried out for crystalline NdPaCuIr at its relaxed geometry.

## Properties
Final energy   -7.07 eV/atom

Unit cell a=6.9996 b=6.9996 c=6.9996 alpha=90.00 beta=90.00 gamma=90.00
Space group F-43m (No. 216)
Unique sites:
Nd (0.0000, 0.0000, 0.0000)
Pa (0.0000, 0.0000, 0.5000)
Cu (0.2500, 0.2500, 0.7500)
Ir (0.2500, 0.2500, 0.2500)

---

14.
A plane-wave DFT calculation with PBE was carried out for crystalline PrNdCuIr at its relaxed geometry.

## Properties
ΔE to the lowest computed polymorph   0.0000 eV per atom

Unit cell a=4.4295 b=4.0081 c=10.7605 alpha=90.00 beta=90.00 gamma=90.00
Space group Amm2 (No. 38)
Unique sites:
Pr (0.0000, 0.0000, 0.0000)
Nd (0.5000, 0.0000, 0.2767)
Cu (0.5000, 0.0000, 0.5683)
Ir (0.0000, 0.0000, 0.7152)

---

15.
A plane-wave DFT calculation with PBE was carried out for crystalline PrNdCuIr at its relaxed geometry.

## Properties
ΔE to the lowest computed polymorph   0.0548 eV per atom

Unit cell a=7.1576 b=7.1576 c=7.1576 alpha=90.00 beta=90.00 gamma=90.00
Space group F-43m (No. 216)
Unique sites:
Pr (0.0000, 0.0000, 0.0000)
Nd (0.0000, 0.0000, 0.5000)
Cu (0.2500, 0.2500, 0.7500)
Ir (0.2500, 0.2500, 0.2500)

---

16.
A plane-wave DFT calculation with PBE was carried out for crystalline NdPuCuIr at its relaxed geometry.

## Properties
Final energy   -8.30 eV/atom

Unit cell a=7.0156 b=7.0156 c=7.0156 alpha=90.00 beta=90.00 gamma=90.00
Space group F-43m (No. 216)
Unique sites:
Nd (0.0000, 0.0000, 0.0000)
Pu (0.0000, 0.0000, 0.5000)
Cu (0.2500, 0.2500, 0.7500)
Ir (0.2500, 0.2500, 0.2500)

---

17.
A plane-wave DFT calculation with PBE was carried out for crystalline NdScCuIr at its relaxed geometry.

## Properties
Final energy   -6.48 eV/atom

Unit cell a=6.8384 b=6.8384 c=6.8384 alpha=90.00 beta=90.00 gamma=90.00
Space group F-43m (No. 216)
Unique sites:
Nd (0.0000, 0.0000, 0.0000)
Sc (0.0000, 0.0000, 0.5000)
Cu (0.2500, 0.2500, 0.7500)
Ir (0.2500, 0.2500, 0.2500)

---

18.
A plane-wave DFT calculation with PBE was carried out for crystalline Nd2CuSi3Ir4 at its relaxed geometry.

## Properties
Energy relative to the elements, uncorrected   -848 kJ/mol of formula units

Unit cell a=4.1642 b=4.1642 c=10.0709 alpha=90.00 beta=90.00 gamma=90.00
Space group P-4m2 (No. 115)
Unique sites:
Nd (0.0000, 0.5000, 0.2445)
Cu (0.5000, 0.5000, 0.0000)
Si (0.0000, 0.0000, 0.0000)
Si (0.0000, 0.5000, 0.6272)
Ir (0.0000, 0.0000, 0.5000)
Ir (0.0000, 0.5000, 0.8655)
Ir (0.5000, 0.5000, 0.5000)

---

19.
A plane-wave DFT calculation with PBE was carried out for crystalline Nd2CuSn4Ir3 at its relaxed geometry.

## Properties
Final energy   -6.13 eV/atom

Unit cell a=4.5100 b=4.5100 c=10.8412 alpha=90.00 beta=90.00 gamma=90.00
Space group P-4m2 (No. 115)
Unique sites:
Nd (0.0000, 0.5000, 0.2490)
Cu (0.0000, 0.0000, 0.5000)
Sn (0.0000, 0.0000, 0.0000)
Sn (0.0000, 0.5000, 0.6282)
Sn (0.5000, 0.5000, 0.0000)
Ir (0.0000, 0.5000, 0.8673)
Ir (0.5000, 0.5000, 0.5000)

---

20.
A plane-wave DFT calculation with PBE was carried out for crystalline Nd2CuSn3Ir4 at its relaxed geometry.

## Properties
Final energy   -6.57 eV/atom

Unit cell a=4.3279 b=4.3279 c=11.2116 alpha=90.00 beta=90.00 gamma=90.00
Space group P-4m2 (No. 115)
Unique sites:
Nd (0.0000, 0.5000, 0.2425)
Cu (0.5000, 0.5000, 0.0000)
Sn (0.0000, 0.0000, 0.0000)
Sn (0.0000, 0.5000, 0.6329)
Ir (0.0000, 0.0000, 0.5000)
Ir (0.0000, 0.5000, 0.8651)
Ir (0.5000, 0.5000, 0.5000)

---

21.
A plane-wave DFT calculation with PBE was carried out for crystalline SrNdCuIr at its relaxed geometry.

## Properties
Final energy   -5.05 eV/atom

Unit cell a=7.1998 b=7.1998 c=7.1998 alpha=90.00 beta=90.00 gamma=90.00
Space group F-43m (No. 216)
Unique sites:
Sr (0.0000, 0.0000, 0.0000)
Nd (0.0000, 0.0000, 0.5000)
Cu (0.2500, 0.2500, 0.7500)
Ir (0.2500, 0.2500, 0.2500)

---

22.
A plane-wave DFT calculation with PBE was carried out for crystalline TbNdCuIr at its relaxed geometry.

## Properties
ΔE to the lowest computed polymorph   0.0000 eV per atom

Unit cell a=4.3619 b=3.9182 c=10.6229 alpha=90.00 beta=90.00 gamma=90.00
Space group Amm2 (No. 38)
Unique sites:
Tb (0.0000, 0.0000, 0.0000)
Nd (0.5000, 0.0000, 0.2776)
Cu (0.0000, 0.0000, 0.7073)
Ir (0.5000, 0.0000, 0.5576)

---

23.
A plane-wave DFT calculation with PBE was carried out for crystalline TbNdCuIr at its relaxed geometry.

## Properties
ΔE to the lowest computed polymorph   0.0317 eV per atom

Unit cell a=7.0298 b=7.0298 c=7.0298 alpha=90.00 beta=90.00 gamma=90.00
Space group F-43m (No. 216)
Unique sites:
Tb (0.0000, 0.0000, 0.0000)
Nd (0.0000, 0.0000, 0.5000)
Cu (0.2500, 0.2500, 0.7500)
Ir (0.2500, 0.2500, 0.2500)

---

24.
A plane-wave DFT calculation with PBE was carried out for crystalline NdThCuIr at its relaxed geometry.

## Properties
Final energy   -6.71 eV/atom

Unit cell a=7.1482 b=7.1482 c=7.1482 alpha=90.00 beta=90.00 gamma=90.00
Space group F-43m (No. 216)
Unique sites:
Nd (0.0000, 0.0000, 0.0000)
Th (0.0000, 0.0000, 0.5000)
Cu (0.2500, 0.2500, 0.7500)
Ir (0.2500, 0.2500, 0.2500)